# 1
An optimized crystal structure of HfCdPd2. Source: Alexandria, functional GGA-PBE.

The calculation puts the density of states at the Fermi level at 3.67 states/eV/f.u. As for the spin magnetization: 0.0 μB per formula unit. The value obtained for the total energy is -5.803 eV/atom. As for the space-group type: P4/mmm, No. 123. As for the energy of formation from the pure elements: -489 meV per atom.

Lattice parameters (Å, degrees): 4.794 4.794 3.106 90.00 90.00 90.00
Positions (direct):
Hf 0.000 0.000 0.000
Cd 0.500 0.500 0.000
Pd 0.000 0.500 0.500
Pd 0.500 0.000 0.500



# 2
An optimized crystal structure of HfCdPd6. Source: Alexandria, functional GGA-PBE.

The calculation puts the density of states at the Fermi level at 4.11 states/eV/f.u. As for the spin magnetization: 0.0 μB per formula unit. The value obtained for the total energy is -5.314 eV/atom. As for the space-group type: R-3m, No. 166. As for the energy of formation from the pure elements: -61 meV per atom.

Lattice parameters (Å, degrees): 5.412 5.412 5.412 82.55 82.55 82.55
Positions (direct):
Hf 0.000 0.000 0.000
Cd 0.500 0.500 0.500
Pd 0.156 0.156 0.537
Pd 0.156 0.537 0.156
Pd 0.463 0.844 0.844
Pd 0.537 0.156 0.156
Pd 0.844 0.463 0.844
Pd 0.844 0.844 0.463



# 3
An optimized crystal structure of HfCd3Pd4. Source: Alexandria, functional GGA-PBE.

The calculation puts the density of states at the Fermi level at 3.23 states/eV/f.u. As for the spin magnetization: 0.0 μB per formula unit. The value obtained for the total energy is -4.684 eV/atom. As for the space-group type: P4/mmm, No. 123. As for the energy of formation from the pure elements: -501 meV per atom.

Lattice parameters (Å, degrees): 3.419 3.419 12.166 90.00 90.00 90.00
Positions (direct):
Hf 0.000 0.000 0.000
Cd 0.000 0.000 0.253
Cd 0.000 0.000 0.500
Cd 0.000 0.000 0.747
Pd 0.500 0.500 0.120
Pd 0.500 0.500 0.375
Pd 0.500 0.500 0.625
Pd 0.500 0.500 0.880



# 4
An optimized crystal structure of Hf2CdPd. Source: Alexandria, functional GGA-PBE.

The calculation puts the density of states at the Fermi level at 3.84 states/eV/f.u. As for the spin magnetization: 0.0 μB per formula unit. The value obtained for the total energy is -6.738 eV/atom. As for the space-group type: P4/mmm, No. 123. As for the energy of formation from the pure elements: -234 meV per atom.

Lattice parameters (Å, degrees): 4.358 4.358 4.106 90.00 90.00 90.00
Positions (direct):
Hf 0.000 0.500 0.000
Hf 0.500 0.000 0.000
Cd 0.000 0.000 0.500
Pd 0.500 0.500 0.500



# 5
An optimized crystal structure of HfCd2Pd2. Source: Alexandria, functional GGA-PBE.

The calculation puts the density of states at the Fermi level at 1.73 states/eV/f.u. The calculation puts the energy above the most stable polymorph in this dataset at 295.4 meV/atom. As for the spin magnetization: 0.0 μB per formula unit. The value obtained for the total energy is -4.648 eV/atom. As for the space-group type: P4/mbm, No. 127. As for the energy of formation from the pure elements: -214 meV per atom.

Lattice parameters (Å, degrees): 7.905 7.905 2.990 90.00 90.00 90.00
Positions (direct):
Hf 0.000 0.000 0.000
Hf 0.500 0.500 0.000
Cd 0.124 0.376 0.000
Cd 0.376 0.876 0.000
Cd 0.624 0.124 0.000
Cd 0.876 0.624 0.000
Pd 0.177 0.677 0.500
Pd 0.323 0.177 0.500
Pd 0.677 0.823 0.500
Pd 0.823 0.323 0.500



# 6
An optimized crystal structure of HfCd3Pd6. Source: Alexandria, functional GGA-PBE.

The calculation puts the density of states at the Fermi level at 3.08 states/eV/f.u. As for the spin magnetization: 0.0 μB per formula unit. The value obtained for the total energy is -4.912 eV/atom. As for the space-group type: P2_1/m, No. 11. As for the energy of formation from the pure elements: -527 meV per atom.

Lattice parameters (Å, degrees): 8.771 4.189 9.344 90.00 94.42 90.00
Positions (direct):
Hf 0.060 0.250 0.375
Hf 0.940 0.750 0.625
Cd 0.247 0.250 0.010
Cd 0.347 0.750 0.803
Cd 0.451 0.250 0.601
Cd 0.549 0.750 0.399
Cd 0.653 0.250 0.197
Cd 0.753 0.750 0.990
Pd 0.052 0.750 0.903
Pd 0.142 0.250 0.691
Pd 0.148 0.750 0.208
Pd 0.235 0.750 0.501
Pd 0.352 0.250 0.303
Pd 0.450 0.750 0.101
Pd 0.550 0.250 0.899
Pd 0.648 0.750 0.697
Pd 0.765 0.250 0.499
Pd 0.852 0.250 0.792
Pd 0.858 0.750 0.309
Pd 0.948 0.250 0.097



# 7
An optimized crystal structure of HfCdPd2. Source: Alexandria, functional GGA-PBE.

The calculation puts the density of states at the Fermi level at 2.27 states/eV/f.u. As for the spin magnetization: 0.0 μB per formula unit. The value obtained for the total energy is -5.919 eV/atom. As for the space-group type: P4/mmm, No. 123. As for the energy of formation from the pure elements: -605 meV per atom.

Lattice parameters (Å, degrees): 3.353 3.353 6.447 90.00 90.00 90.00
Positions (direct):
Hf 0.000 0.000 0.000
Cd 0.000 0.000 0.500
Pd 0.500 0.500 0.234
Pd 0.500 0.500 0.766



# 8
An optimized crystal structure of HfCdPd2. Source: Alexandria, functional GGA-PBE.

The calculation puts the density of states at the Fermi level at 2.02 states/eV/f.u. As for the spin magnetization: 0.0 μB per formula unit. The value obtained for the total energy is -5.486 eV/atom. As for the space-group type: I-42d, No. 122. As for the energy of formation from the pure elements: -173 meV per atom.

Lattice parameters (Å, degrees): 7.337 7.337 5.846 90.00 90.00 90.00
Positions (direct):
Hf 0.000 0.000 0.000
Hf 0.000 0.500 0.250
Hf 0.500 0.000 0.750
Hf 0.500 0.500 0.500
Cd 0.000 0.000 0.500
Cd 0.000 0.500 0.750
Cd 0.500 0.000 0.250
Cd 0.500 0.500 0.000
Pd 0.233 0.750 0.125
Pd 0.250 0.233 0.875
Pd 0.250 0.267 0.375
Pd 0.267 0.750 0.625
Pd 0.733 0.250 0.625
Pd 0.750 0.733 0.375
Pd 0.750 0.767 0.875
Pd 0.767 0.250 0.125



> Which of these has the highest energy of formation from the pure elements?

HfCdPd6



> The lowest total energy belongs to which entry?

Hf2CdPd